# 1
# Sc2ICl

Sc2ICl at its PBEsol-relaxed geometry (meta-GGA SCAN, the Alexandria database).

## Properties
- Calculated total energy: -228.774 eV for the cell shown
- Magnetization: 0.0 μB per cell
- D(E_F): 2.1 states/eV/f.u.
- Excess energy over the best structure of this formula in the dataset: 0 meV per atom
- Formation energy without anion corrections: -0.766 eV per atom
- Theoretical density: 4.13 g cm⁻³

Unit cell a=3.5460 b=3.5460 c=27.9375 alpha=90.00 beta=90.00 gamma=120.00
Space group R-3m (No. 166, hexagonal axes)
One atom of each set of equivalent atoms:
Sc1 0.0000 0.0000 0.0858
I1 0.0000 0.0000 0.5000
Cl1 0.0000 0.0000 0.0000



# 2
# Lu3Ni7B2

Lu3Ni7B2 at its PBEsol-relaxed geometry (meta-GGA SCAN, the Alexandria database).

## Properties
- E_form: -0.61 eV per atom
- Calculated total energy: -602.960 eV for the cell shown
- Magnetization: 0.0 μB per cell
- D(E_F): 4.6 states/eV/f.u.
- Theoretical density: 10.77 g cm⁻³

Unit cell a=4.9268 b=4.9268 c=14.0410 alpha=90.00 beta=90.00 gamma=120.00
Space group P6_3/mmc (No. 194)
One atom of each set of equivalent atoms:
Lu1 0.3333 0.6667 0.0332
Lu2 0.3333 0.6667 0.2500
Ni1 0.0000 0.0000 0.0000
Ni2 0.1658 0.3317 0.6467
B1 0.0000 0.0000 0.2500
B2 0.3333 0.6667 0.7500



# 3
# Al2CoTe

Al2CoTe at its PBEsol-relaxed geometry (meta-GGA SCAN, the Alexandria database).

## Properties
- Calculated total energy: -208.743 eV for the cell shown
- Magnetization: 2.3 μB per cell
- D(E_F): 2.0 states/eV/f.u.
- Formation energy without anion corrections: 0.120 eV per atom
- Theoretical density: 5.78 g cm⁻³

Unit cell a=3.1457 b=3.1457 c=24.2004 alpha=90.00 beta=90.00 gamma=120.00
Space group R-3m (No. 166, hexagonal axes)
One atom of each set of equivalent atoms:
Al1 0.0000 0.0000 0.2307
Co1 0.0000 0.0000 0.5000
Te1 0.0000 0.0000 0.0000



# 4
# BAsCSe2

BAsCSe2 at its PBEsol-relaxed geometry (meta-GGA SCAN, the Alexandria database).

## Properties
- Calculated total energy: -68.503 eV for the cell shown
- Magnetization: 0.0 μB per cell
- D(E_F): 1.9 states/eV/f.u.
- Formation energy without anion corrections: 1.875 eV per atom
- Theoretical density: 5.38 g cm⁻³

Unit cell a=4.3830 b=4.3830 c=4.1039 alpha=90.00 beta=90.00 gamma=90.00
Space group P4/mmm (No. 123)
One atom of each set of equivalent atoms:
B1 0.0000 0.0000 0.0000
As1 0.5000 0.5000 0.0000
C1 0.5000 0.5000 0.5000
Se1 0.0000 0.5000 0.5000